A plane-wave DFT calculation with PBEsol was carried out for crystalline YCdOF2 at its relaxed geometry.

The structure in POSCAR format:
```
YCdOF2
1.0
4.334 0.000 0.000
0.000 4.334 0.000
0.000 0.000 4.403
O F Cd Y
1 2 1 1
direct
0.000 0.000 0.500
0.500 0.000 0.000
0.000 0.500 0.000
0.500 0.500 0.500
0.000 0.000 0.000
```

## Properties
Space group: No. 123
Raw formation energy: -2.5912 eV/atom
Total moment: 0.00 μB per formula unit

=====

A plane-wave DFT calculation with PBEsol was carried out for crystalline HfRu at its relaxed geometry.

The structure in POSCAR format:
```
HfRu
1.0
3.200 0.000 0.000
0.000 3.200 0.000
0.000 0.000 3.200
Hf Ru
1 1
direct
0.500 0.500 0.500
0.000 0.000 0.000
```

## Properties
Formation energy: -0.787 eV/atom
Space group: No. 221
Total moment: 0.00 μB per formula unit

=====

A plane-wave DFT calculation with PBEsol was carried out for crystalline Hf6Al2Ni at its relaxed geometry.

The structure in POSCAR format:
```
Hf6Al2Ni
1.0
-0.270 0.359 -3.241
-6.581 -4.101 0.094
-0.218 7.703 0.872
Ni Hf Al
1 6 2
direct
0.500 0.000 0.000
0.500 0.398 0.398
0.500 0.000 0.602
0.500 0.602 0.000
0.000 0.256 0.000
0.000 0.744 0.744
0.000 0.000 0.256
0.000 0.333 0.667
0.000 0.667 0.333
```

## Properties
Formation energy: -0.339 eV/atom
Space group: No. 189
Total moment: 0.00 μB per formula unit

=====

A plane-wave DFT calculation with PBEsol was carried out for crystalline K4NaCl5 at its relaxed geometry.

The structure in POSCAR format:
```
K4NaCl5
1.0
-1.307 2.632 -3.159
-4.094 1.357 -0.123
2.545 15.339 8.778
K Cl Na
4 5 1
direct
0.201 0.201 0.396
0.799 0.799 0.604
0.604 0.604 0.188
0.396 0.396 0.812
0.903 0.903 0.291
0.097 0.097 0.709
0.694 0.694 0.917
0.306 0.306 0.083
0.500 0.500 0.500
0.000 0.000 0.000
```

## Properties
Excess energy over the best structure of this formula in the dataset: 0.0 meV per atom
Space group: No. 166
Raw formation energy: -1.9008 eV/atom
Total moment: 0.15 μB per formula unit

=====

A plane-wave DFT calculation with PBEsol was carried out for crystalline AsHPdBr2 at its relaxed geometry.

The structure in POSCAR format:
```
AsHPdBr2
1.0
4.624 0.000 0.000
0.000 5.223 0.000
0.000 0.000 5.223
As Br Pd H
1 2 1 1
direct
0.500 0.000 0.000
0.000 0.000 0.500
0.000 0.500 0.000
0.000 0.000 0.000
0.500 0.500 0.500
```

## Properties
Excess energy over the best structure of this formula in the dataset: 130.6 meV per atom
Space group: No. 123
Total moment: 0.95 μB per formula unit

=====

A plane-wave DFT calculation with PBEsol was carried out for crystalline Xe at its relaxed geometry.

The structure in POSCAR format:
```
Xe
1.0
-0.461 3.262 3.039
1.839 -0.446 4.064
3.533 2.508 1.149
Xe
1
direct
0.000 0.000 0.000
```

## Properties
Formation energy: 0.010 eV/atom
Excess energy over the best structure of this formula in the dataset: 10.3 meV per atom
Space group: No. 225
Total moment: 0.00 μB per formula unit